Below is crystalline Th2Al2C3 at its relaxed geometry, with properties calculated at the PBEsol level.

## Properties
energy of formation: -360 meV per atom
total moment: 0.000 μB/atom
crystal system: orthorhombic

extended XYZ file:
```
14
Lattice="5.3731 0.0000 0.0000 0.0000 11.5217 0.0000 0.0000 0.0000 3.4867" Properties=species:S:1:pos:R:3 pbc="T T T"
Th 0.9397 1.7175 0.0000
Th 1.7468 7.4784 1.7434
Th 3.6262 4.0433 1.7434
Th 4.4333 9.8042 0.0000
Al 0.9853 4.7703 0.0000
Al 1.7013 10.5312 1.7434
Al 3.6718 0.9906 1.7434
Al 4.3878 6.7514 0.0000
C 0.0000 0.0000 1.7434
C 0.8988 3.5908 1.7434
C 1.7877 9.3517 0.0000
C 2.6865 5.7609 0.0000
C 3.5854 2.1701 0.0000
C 4.4742 7.9309 1.7434
```